[1]
Material: MgTl2Hg8
Method: DFT, PBE
State: optimized geometry

Cell and atoms, written as POSCAR:
```
MgTl2Hg8
1.0
4.925 0.000 0.000
0.000 4.925 0.000
0.000 0.000 12.426
Mg Tl Hg
1 2 8
Direct
0.000 0.000 0.000
0.000 0.000 0.315
0.000 0.000 0.685
0.000 0.500 0.130
0.000 0.500 0.500
0.000 0.500 0.870
0.500 0.000 0.130
0.500 0.000 0.500
0.500 0.000 0.870
0.500 0.500 0.317
0.500 0.500 0.683
```

SG = P4/mmm (123)
Electronic total energy = -0.833 eV per atom
Total moment = 0.00 μB per formula unit
Calculated formation energy = -0.04 eV/atom

[2]
Material: HfNbFeCuW
Method: DFT, PBE
State: optimized geometry

Cell and atoms, written as POSCAR:
```
HfNbFeCuW
1.0
6.235 -2.217 0.000
6.235 2.217 0.000
-0.689 0.000 2.849
Hf Nb Fe Cu W
1 1 1 1 1
Direct
0.000 0.000 0.000
0.242 0.242 0.844
0.431 0.431 0.511
0.812 0.812 0.335
0.617 0.617 0.472
```

SG = Cm (8)
Electronic total energy = -9.029 eV per atom
Total moment = 0.00 μB per formula unit
Energy relative to the lowest polymorph listed for this composition = 0.0 meV per atom
Calculated formation energy = 0.08 eV/atom

[3]
Material: LiBeTlOs2
Method: DFT, PBE
State: optimized geometry

Cell and atoms, written as POSCAR:
```
LiBeTlOs2
1.0
5.084 0.000 0.000
0.000 5.084 0.000
0.000 0.000 4.431
Li Be Tl Os
1 1 1 2
Direct
0.000 0.000 0.000
0.500 0.500 0.000
0.500 0.500 0.500
0.000 0.500 0.500
0.500 0.000 0.500
```

SG = P4/mmm (123)
Electronic total energy = -3.780 eV per atom
Total moment = 2.59 μB per formula unit
Calculated formation energy = 2.31 eV/atom